(1)
Computed, not measured: an optimized crystal structure of CrFeRh2 at the PBE level of DFT.

Values from the calculation:
**Energy relative to the elements**: 0.186 eV per atom
**Space-group type**: F-43m

POSCAR file:
```
CrFeRh2
1.0
6.033 0.000 0.000
0.000 6.033 0.000
0.000 0.000 6.033
Cr Fe Rh
4 4 8
Cartesian
0.000 0.000 0.000 Cr
0.000 3.017 3.017 Cr
3.017 0.000 3.017 Cr
3.017 3.017 0.000 Cr
1.508 1.508 1.508 Fe
1.508 4.525 4.525 Fe
4.525 1.508 4.525 Fe
4.525 4.525 1.508 Fe
0.000 0.000 3.017 Rh
0.000 3.017 0.000 Rh
1.508 1.508 4.525 Rh
1.508 4.525 1.508 Rh
3.017 0.000 0.000 Rh
3.017 3.017 3.017 Rh
4.525 1.508 1.508 Rh
4.525 4.525 4.525 Rh
```

***

(2)
Computed, not measured: an optimized crystal structure of CuRh2Cl at the PBE level of DFT.

Values from the calculation:
**Uncorrected formation energy**: 0.45 eV/atom
**Space-group type**: Immm

POSCAR file:
```
CuRh2Cl
1.0
2.802 0.000 0.000
0.000 4.851 0.000
0.000 0.000 8.660
Cu Rh Cl
2 4 2
Cartesian
0.000 0.000 0.000 Cu
1.401 2.425 4.330 Cu
0.000 2.425 2.091 Rh
0.000 2.425 6.569 Rh
1.401 0.000 2.239 Rh
1.401 0.000 6.421 Rh
0.000 0.000 4.330 Cl
1.401 2.425 0.000 Cl
```

***

(3)
Computed, not measured: an optimized crystal structure of Li2MnBe at the PBE level of DFT.

Values from the calculation:
**Energy relative to the elements**: 0.313 eV per atom
**Space-group type**: R-3m

POSCAR file:
```
Li2MnBe
1.0
2.436 0.000 0.000
-1.218 2.110 0.000
0.000 0.000 27.078
Li Mn Be
6 3 3
Cartesian
0.000 0.000 6.746 Li
0.000 0.000 20.332 Li
0.000 1.406 11.306 Li
0.000 1.406 24.797 Li
1.218 0.703 2.280 Li
1.218 0.703 15.771 Li
0.000 0.000 0.000 Mn
0.000 1.406 18.052 Mn
1.218 0.703 9.026 Mn
0.000 0.000 13.539 Be
0.000 1.406 4.513 Be
1.218 0.703 22.565 Be
```

***

(4)
Computed, not measured: an optimized crystal structure of Tl3Se2N at the PBE level of DFT.

Values from the calculation:
**Uncorrected formation energy**: 0.32 eV/atom
**Space-group type**: C2/m

POSCAR file:
```
Tl3Se2N
1.0
6.680 -2.448 0.000
6.680 2.448 0.000
-2.863 0.000 10.141
Tl Se N
6 4 2
Cartesian
-0.316 0.000 1.570 Tl
1.522 0.000 9.527 Tl
3.205 0.000 5.090 Tl
7.291 0.000 5.051 Tl
8.974 0.000 0.614 Tl
10.812 0.000 8.571 Tl
0.593 0.000 6.356 Se
5.658 0.000 2.784 Se
4.838 0.000 7.357 Se
9.903 0.000 3.784 Se
1.719 0.000 0.346 N
8.778 0.000 9.795 N
```

***

(5)
Computed, not measured: an optimized crystal structure of Mn4CoPt at the PBE level of DFT.

Values from the calculation:
**Energy relative to the elements**: 0.130 eV per atom
**Space-group type**: F-43m

POSCAR file:
```
Mn4CoPt
1.0
0.000 3.297 3.297
3.297 0.000 3.297
3.297 3.297 0.000
Mn Co Pt
4 1 1
Cartesian
0.825 0.825 0.825 Mn
2.471 2.471 0.825 Mn
2.471 0.825 2.471 Mn
0.825 2.471 2.471 Mn
3.297 3.297 3.297 Co
4.945 4.945 4.945 Pt
```

***

(6)
Computed, not measured: an optimized crystal structure of KTb3Pr2Te6 at the PBE level of DFT.

Values from the calculation:
**Uncorrected formation energy**: -1.37 eV/atom
**Space-group type**: C2/m

POSCAR file:
```
KTb3Pr2Te6
1.0
9.876 -2.214 0.000
9.876 2.214 0.000
-2.310 0.000 8.865
K Tb Pr Te
1 3 2 6
Cartesian
0.000 0.000 0.000 K
-1.155 0.000 4.433 Tb
6.226 0.000 1.552 Tb
11.215 0.000 7.314 Tb
4.968 0.000 5.782 Pr
12.474 0.000 3.083 Pr
1.826 0.000 5.246 Te
3.244 0.000 0.696 Te
9.258 0.000 2.360 Te
8.184 0.000 6.505 Te
14.198 0.000 8.170 Te
15.616 0.000 3.620 Te
```

***

(7)
Computed, not measured: an optimized crystal structure of Na3AgH4 at the PBE level of DFT.

Values from the calculation:
**Space-group type**: Pmn2_1
**E_tot**: -2.66 eV/atom

POSCAR file:
```
Na3AgH4
1.0
7.005 0.000 0.000
0.000 6.088 0.000
0.000 0.000 5.607
Na Ag H
6 2 8
Cartesian
0.000 0.794 0.000 Na
1.723 1.975 2.789 Na
1.780 4.112 5.592 Na
3.502 5.294 2.803 Na
5.225 4.112 5.592 Na
5.282 1.975 2.789 Na
0.000 4.953 2.797 Ag
3.502 1.135 5.600 Ag
0.000 0.647 3.321 H
0.000 4.898 0.958 H
1.573 4.152 3.336 H
1.929 1.935 0.532 H
3.502 1.190 3.761 H
3.502 5.441 0.517 H
5.075 1.935 0.532 H
5.432 4.152 3.336 H
```

***

(8)
Computed, not measured: an optimized crystal structure of Nb4Al2Os at the PBE level of DFT.

Values from the calculation:
**Energy relative to the elements**: 0.931 eV per atom
**Space-group type**: I4/mmm

POSCAR file:
```
Nb4Al2Os
1.0
4.775 0.000 0.000
0.000 4.775 0.000
0.000 0.000 13.764
Nb Al Os
8 4 2
Cartesian
0.000 0.000 2.471 Nb
0.000 0.000 11.293 Nb
0.000 2.388 0.000 Nb
0.000 2.388 6.882 Nb
2.388 0.000 0.000 Nb
2.388 0.000 6.882 Nb
2.388 2.388 4.411 Nb
2.388 2.388 9.353 Nb
0.000 0.000 5.158 Al
0.000 0.000 8.606 Al
2.388 2.388 1.724 Al
2.388 2.388 12.040 Al
0.000 0.000 0.000 Os
2.388 2.388 6.882 Os
```

***

| no. | Fermi-level density of states (states/eV/atom) |
| --- | --- |
| 1 | 2.013 |
| 2 | 1.067 |
| 3 | 0.543 |
| 4 | 0.293 |
| 5 | 1.660 |
| 6 | 0.354 |
| 7 | 0.000 |
| 8 | 1.090 |